Entry 1:
Density functional theory data (GGA-PBE) for a relaxed structure of TaAs2P.

Unit cell a=5.1447 b=5.1447 c=5.1447 alpha=141.49 beta=128.38 gamma=66.21
Last column: nearest neighbours and their distance in Å.
Element x y z (fractional)
Ta: 0.0000 0.0000 0.0000  4 P 2.81, 8 As 2.92-2.97
As: 0.2832 0.7832 0.5000  2 P 2.52
As: 0.7168 0.2168 0.5000  2 P 2.52
P: 0.5000 0.5000 0.0000  4 As 2.52, 4 Ta 2.81

Results
formation energy	2.76	kcal/mol of atoms
space group	Immm
D(E_F)	0.430	states/eV per atom

***

Entry 2:
Density functional theory data (GGA-PBE) for a relaxed structure of K3ZrB.

Unit cell a=6.0188 b=6.0188 c=6.0188 alpha=90.00 beta=90.00 gamma=90.00
Last column: nearest neighbours and their distance in Å.
Element x y z (fractional)
K: 0.0000 0.0000 0.5000  2 B 3.01
K: 0.0000 0.5000 0.0000  2 B 3.01
K: 0.5000 0.0000 0.0000  2 B 3.01
Zr: 0.5000 0.5000 0.5000  12 K 4.26
B: 0.0000 0.0000 0.0000  6 K 3.01

Results
distance to the lowest polymorph of the same formula	0	meV per atom
formation energy	38.09	kcal/mol of atoms
space group	Pm-3m
D(E_F)	1.909	states/eV per atom

***

Entry 3:
Density functional theory data (GGA-PBE) for a relaxed structure of BIrAu.

Unit cell a=2.7945 b=2.8682 c=5.3888 alpha=90.00 beta=90.00 gamma=90.00
Last column: nearest neighbours and their distance in Å.
Element x y z (fractional)
B: 0.0000 0.0000 0.0000  2 Ir 2.03, 2 Au 2.24
Ir: 0.0000 0.5000 0.7326  2 B 2.03
Au: 0.5000 0.0000 0.3256  2 B 2.24

Results
formation energy	8.38	kcal/mol of atoms
space group	Pmm2
D(E_F)	0.508	states/eV per atom

***

Entry 4:
Density functional theory data (GGA-PBE) for a relaxed structure of PbCBr2.

Unit cell a=5.2446 b=5.2446 c=5.2446 alpha=60.00 beta=60.00 gamma=60.00
Last column: nearest neighbours and their distance in Å.
Element x y z (fractional)
Pb: 0.0000 0.0000 0.0000  8 Br 3.21
C: 0.5000 0.5000 0.5000  8 Br 3.21
Br: 0.2500 0.2500 0.2500  4 C 3.21, 4 Pb 3.21
Br: 0.7500 0.7500 0.7500  4 C 3.21, 4 Pb 3.21

Results
uncorrected formation energy	1.211	eV/atom
distance to the lowest polymorph of the same formula	25	meV per atom
space group	Fm-3m
D(E_F)	1.500	states/eV per atom